(1)
Density functional theory data (PBE) for a relaxed Tl3HgRh crystal.

Cell: 3.263 7.325 17.300 Å, 90.00 90.00 90.00°
Sites, in units of the cell vectors:
Tl1 0.000 0.000 0.000
Tl2 0.000 0.500 0.500
Tl3 0.500 0.206 0.327
Tl4 0.500 0.294 0.827
Tl5 0.500 0.706 0.827
Tl6 0.500 0.794 0.327
Hg1 0.500 0.000 0.164
Hg2 0.500 0.500 0.664
Rh1 0.000 0.000 0.848
Rh2 0.000 0.500 0.348

Properties
- offset from the most stable computed form (meV per atom) = 278
- calculated total energy (eV per atom) = -2.69
- Fermi-level density of states (states/eV per atom) = 0.402
- formation enthalpy at 0 K (eV/atom) = 0.26

=====

(2)
Density functional theory data (PBE) for a relaxed ZrU4Ga15 crystal.

Cell: 4.228 4.228 21.254 Å, 90.00 90.00 90.00°
Sites, in units of the cell vectors:
Zr1 0.000 0.000 0.000
U1 0.000 0.000 0.195
U2 0.000 0.000 0.399
U3 0.000 0.000 0.601
U4 0.000 0.000 0.805
Ga1 0.000 0.500 0.097
Ga2 0.000 0.500 0.297
Ga3 0.000 0.500 0.500
Ga4 0.000 0.500 0.703
Ga5 0.000 0.500 0.903
Ga6 0.500 0.000 0.097
Ga7 0.500 0.000 0.297
Ga8 0.500 0.000 0.500
Ga9 0.500 0.000 0.703
Ga10 0.500 0.000 0.903
Ga11 0.500 0.500 0.000
Ga12 0.500 0.500 0.198
Ga13 0.500 0.500 0.399
Ga14 0.500 0.500 0.601
Ga15 0.500 0.500 0.802

Properties
- calculated total energy (eV per atom) = -5.25
- Fermi-level density of states (states/eV per atom) = 1.049
- formation enthalpy at 0 K (eV/atom) = -0.29

=====

(3)
Density functional theory data (PBE) for a relaxed SrZn2Cd6 crystal.

Cell: 4.546 4.546 10.010 Å, 90.00 90.00 90.00°
Sites, in units of the cell vectors:
Sr1 0.000 0.000 0.000
Zn1 0.500 0.500 0.125
Zn2 0.500 0.500 0.875
Cd1 0.000 0.000 0.500
Cd2 0.000 0.500 0.284
Cd3 0.000 0.500 0.716
Cd4 0.500 0.000 0.284
Cd5 0.500 0.000 0.716
Cd6 0.500 0.500 0.500

Properties
- calculated total energy (eV per atom) = -1.24
- Fermi-level density of states (states/eV per atom) = 0.250
- formation enthalpy at 0 K (eV/atom) = -0.16